# SCAN MnSi2P, PBEsol geometry
data_MnSi2P
_cell_length_a 4.7493
_cell_length_b 6.8913
_cell_length_c 2.8551
_cell_angle_alpha 90.00
_cell_angle_beta 90.00
_cell_angle_gamma 90.00
_symmetry_space_group_name_H-M 'C m m m'
_symmetry_Int_Tables_number 65
_symmetry_space_group_name_Hall '-C 2 2'
loop_
_atom_site_label
_atom_site_fract_x
_atom_site_fract_y
_atom_site_fract_z
Mn1 0.0000 0.0000 0.0000
Si1 0.2500 0.2500 0.5000
P1 0.0000 0.5000 0.0000
# Density of states at the Fermi level (states/eV per atom): 0.4978
# Total moment (μB/cell): 2.5
# Formation energy (no corrections) (eV/atom): 0.30

# SCAN MnSiP, PBEsol geometry
data_MnSiP
_cell_length_a 2.8384
_cell_length_b 2.8384
_cell_length_c 5.1661
_cell_angle_alpha 90.00
_cell_angle_beta 90.00
_cell_angle_gamma 120.00
_symmetry_space_group_name_H-M 'P 3 m 1'
_symmetry_Int_Tables_number 156
loop_
_symmetry_equiv_pos_as_xyz
'x,y,z'
'-y,x-y,z'
'-x+y,-x,z'
'-y,-x,z'
'-x+y,y,z'
'x,x-y,z'
loop_
_atom_site_label
_atom_site_fract_x
_atom_site_fract_y
_atom_site_fract_z
Mn1 0.0000 0.0000 0.0000
Si1 0.3333 0.6667 0.3282
P1 0.6667 0.3333 0.7042
# Density of states at the Fermi level (states/eV per atom): 0.4406
# Total moment (μB/cell): 0.0
# Formation energy (no corrections) (eV/atom): -0.09

# SCAN MnSi2P, PBEsol geometry
data_MnSi2P
_cell_length_a 3.8049
_cell_length_b 3.1397
_cell_length_c 8.4492
_cell_angle_alpha 90.00
_cell_angle_beta 90.00
_cell_angle_gamma 90.00
_symmetry_space_group_name_H-M 'A m m 2'
_symmetry_Int_Tables_number 38
loop_
_symmetry_equiv_pos_as_xyz
'x,y,z'
'-x,-y,z'
'-x,y,z'
'x,-y,z'
'x,y+1/2,z+1/2'
'-x,-y+1/2,z+1/2'
'-x,y+1/2,z+1/2'
'x,-y+1/2,z+1/2'
loop_
_atom_site_label
_atom_site_fract_x
_atom_site_fract_y
_atom_site_fract_z
Mn1 0.0000 0.0000 0.0000
Si1 0.0000 0.0000 0.7182
Si2 0.5000 0.0000 0.1527
P1 0.5000 0.0000 0.4223
# Density of states at the Fermi level (states/eV per atom): 0.4207
# Total moment (μB/cell): 0.0
# Formation energy (no corrections) (eV/atom): 0.14